one | TbY4Ho6 | PBE | optimized geometry

**Space group**: I-42m
**ρ**: 6.86 Mg/m³

Cell: 9.699 9.699 9.699 Å, 140.62 140.62 56.91°
Fractional positions:
Tb 0.000 0.000 0.000
Y 0.013 0.639 0.000
Y 0.361 0.361 0.374
Y 0.639 0.013 0.000
Y 0.987 0.987 0.626
Ho 0.000 0.500 0.500
Ho 0.192 0.192 0.643
Ho 0.451 0.808 0.000
Ho 0.500 0.000 0.500
Ho 0.549 0.549 0.357
Ho 0.808 0.451 0.000

two | TbY4Ho6 | PBE | optimized geometry

**Space group**: I-42m
**ρ**: 6.82 Mg/m³

Cell: 9.724 9.724 9.724 Å, 140.67 140.67 56.84°
Fractional positions:
Tb 0.000 0.000 0.000
Y 0.186 0.186 0.641
Y 0.454 0.814 0.000
Y 0.546 0.546 0.359
Y 0.814 0.454 0.000
Ho 0.000 0.500 0.500
Ho 0.015 0.645 0.000
Ho 0.355 0.355 0.370
Ho 0.500 0.000 0.500
Ho 0.645 0.015 0.000
Ho 0.985 0.985 0.630

Which of them is most stable? Easy: one.

one | TbY3Ho | PBE | optimized geometry

**Space group**: C2/c
**ρ**: 6.05 Mg/m³

Cell: 8.768 8.768 9.613 Å, 94.29 94.29 117.49°
Fractional positions:
Tb 0.024 0.976 0.750
Tb 0.408 0.592 0.250
Tb 0.592 0.408 0.750
Tb 0.976 0.024 0.250
Y 0.018 0.570 0.683
Y 0.121 0.753 0.056
Y 0.247 0.879 0.444
Y 0.293 0.506 0.882
Y 0.430 0.982 0.817
Y 0.494 0.707 0.618
Y 0.506 0.293 0.382
Y 0.570 0.018 0.183
Y 0.707 0.494 0.118
Y 0.753 0.121 0.556
Y 0.879 0.247 0.944
Y 0.982 0.430 0.317
Ho 0.196 0.298 0.546
Ho 0.298 0.196 0.046
Ho 0.702 0.804 0.954
Ho 0.804 0.702 0.454

two | TbY3Ho | PBE | optimized geometry

**Space group**: P2_1/m
**ρ**: 6.06 Mg/m³

Cell: 6.307 5.640 9.631 Å, 90.00 109.09 90.00°
Fractional positions:
Tb 0.069 0.250 0.299
Tb 0.931 0.750 0.701
Y 0.136 0.750 0.099
Y 0.264 0.250 0.701
Y 0.333 0.750 0.501
Y 0.667 0.250 0.499
Y 0.736 0.750 0.299
Y 0.864 0.250 0.901
Ho 0.468 0.250 0.100
Ho 0.532 0.750 0.900

Which of them is most stable? Easy: two.

one | Tb2Y5Ho2 | PBE | optimized geometry

**Space group**: Ima2
**ρ**: 6.14 Mg/m³

Cell: 10.041 10.041 10.041 Å, 84.46 109.13 140.25°
Fractional positions:
Tb 0.000 0.000 0.000
Tb 0.000 0.500 0.500
Tb 0.117 0.883 0.734
Tb 0.150 0.383 0.266
Y 0.144 0.046 0.383
Y 0.144 0.260 0.598
Y 0.145 0.662 0.983
Y 0.457 0.170 0.180
Y 0.457 0.778 0.787
Y 0.662 0.546 0.402
Y 0.662 0.760 0.617
Y 0.679 0.162 0.017
Y 0.991 0.278 0.820
Y 0.991 0.670 0.213
Ho 0.563 0.702 0.118
Ho 0.563 0.945 0.361
Ho 0.584 0.202 0.639
Ho 0.584 0.445 0.882

two | Tb2Y5Ho2 | PBE | optimized geometry

**Space group**: P-1
**ρ**: 6.33 Mg/m³

Cell: 3.552 9.415 9.418 Å, 69.10 79.16 79.25°
Fractional positions:
Tb 0.056 0.167 0.222
Tb 0.944 0.833 0.778
Y 0.278 0.832 0.111
Y 0.388 0.167 0.555
Y 0.500 0.500 0.000
Y 0.612 0.833 0.445
Y 0.722 0.168 0.889
Ho 0.167 0.501 0.665
Ho 0.833 0.499 0.335

Which of them is most stable? Easy: two.

one | Tb2YHo9 | PBE | optimized geometry

**Space group**: P6/mmm
**ρ**: 8.34 Mg/m³

Cell: 11.168 11.168 3.488 Å, 90.00 90.00 120.00°
Fractional positions:
Tb 0.333 0.667 0.000
Tb 0.667 0.333 0.000
Y 0.000 0.000 0.000
Ho 0.000 0.500 0.000
Ho 0.176 0.352 0.500
Ho 0.176 0.824 0.500
Ho 0.352 0.176 0.500
Ho 0.500 0.000 0.000
Ho 0.500 0.500 0.000
Ho 0.648 0.824 0.500
Ho 0.824 0.176 0.500
Ho 0.824 0.648 0.500

two | Tb2YHo9 | PBE | optimized geometry

**Space group**: P4/mmm
**ρ**: 8.37 Mg/m³

Cell: 5.001 5.001 15.000 Å, 90.00 90.00 90.00°
Fractional positions:
Tb 0.000 0.000 0.167
Tb 0.000 0.000 0.833
Y 0.000 0.000 0.500
Ho 0.000 0.500 0.000
Ho 0.000 0.500 0.333
Ho 0.000 0.500 0.667
Ho 0.500 0.000 0.000
Ho 0.500 0.000 0.333
Ho 0.500 0.000 0.667
Ho 0.500 0.500 0.166
Ho 0.500 0.500 0.500
Ho 0.500 0.500 0.834

Which of them is most stable? Easy: two.

one | TbY2Ho5 | PBE | optimized geometry

**Space group**: P-1
**ρ**: 7.56 Mg/m³

Cell: 6.685 9.166 9.169 Å, 86.31 72.40 72.45°
Fractional positions:
Tb 0.246 0.209 0.292
Tb 0.754 0.791 0.708
Y 0.000 0.416 0.833
Y 0.000 0.584 0.167
Y 0.499 0.834 0.416
Y 0.501 0.166 0.584
Ho 0.000 0.083 0.668
Ho 0.000 0.917 0.332
Ho 0.250 0.041 0.959
Ho 0.251 0.541 0.458
Ho 0.252 0.709 0.791
Ho 0.499 0.333 0.918
Ho 0.501 0.667 0.082
Ho 0.748 0.291 0.209
Ho 0.749 0.459 0.542
Ho 0.750 0.959 0.041

two | TbY2Ho5 | PBE | optimized geometry

**Space group**: Pbam
**ρ**: 7.69 Mg/m³

Cell: 7.083 14.167 5.001 Å, 90.00 90.00 90.00°
Fractional positions:
Tb 0.000 0.000 0.000
Tb 0.500 0.500 0.000
Y 0.250 0.125 0.500
Y 0.250 0.625 0.500
Y 0.750 0.375 0.500
Y 0.750 0.875 0.500
Ho 0.000 0.250 0.000
Ho 0.000 0.500 0.000
Ho 0.000 0.750 0.000
Ho 0.250 0.375 0.500
Ho 0.250 0.875 0.500
Ho 0.500 0.000 0.000
Ho 0.500 0.250 0.000
Ho 0.500 0.750 0.000
Ho 0.750 0.125 0.500
Ho 0.750 0.625 0.500

Which of them is most stable? Easy: one.

one | Tb4Y3Ho | PBE | optimized geometry

**Space group**: C2/m
**ρ**: 6.77 Mg/m³

Cell: 11.855 11.855 6.685 Å, 106.29 106.29 16.89°
Fractional positions:
Tb 0.124 0.124 0.368
Tb 0.260 0.260 0.759
Tb 0.740 0.740 0.241
Tb 0.876 0.876 0.632
Y 0.000 0.000 0.500
Y 0.125 0.125 0.882
Y 0.875 0.875 0.118
Ho 0.500 0.500 0.000

two | Tb4Y3Ho | PBE | optimized geometry

**Space group**: Pmn2_1
**ρ**: 6.83 Mg/m³

Cell: 11.290 7.289 6.304 Å, 90.00 90.00 90.00°
Fractional positions:
Tb 0.000 0.124 0.000
Tb 0.000 0.875 0.501
Tb 0.249 0.125 0.331
Tb 0.251 0.875 0.831
Tb 0.500 0.125 0.001
Tb 0.500 0.876 0.500
Tb 0.749 0.875 0.831
Tb 0.751 0.125 0.331
Y 0.000 0.625 0.997
Y 0.250 0.375 0.833
Y 0.250 0.625 0.333
Y 0.500 0.375 0.497
Y 0.750 0.375 0.833
Y 0.750 0.625 0.333
Ho 0.000 0.374 0.498
Ho 0.500 0.626 0.998

Which of them is most stable? Easy: two.

one | Tb7Y2Ho | PBE | optimized geometry

**Space group**: Cmmm
**ρ**: 6.22 Mg/m³

Cell: 9.804 9.804 5.132 Å, 90.00 90.00 128.01°
Fractional positions:
Tb 0.000 0.000 0.000
Tb 0.214 0.425 0.000
Tb 0.307 0.693 0.500
Tb 0.425 0.214 0.000
Tb 0.575 0.786 0.000
Tb 0.693 0.307 0.500
Tb 0.786 0.575 0.000
Y 0.204 0.796 0.000
Y 0.796 0.204 0.000
Ho 0.500 0.500 0.500

two | Tb7Y2Ho | PBE | optimized geometry

**Space group**: P-1
**ρ**: 7.57 Mg/m³

Cell: 6.163 6.171 9.407 Å, 102.60 109.03 99.56°
Fractional positions:
Tb 0.000 0.000 0.000
Tb 0.199 0.000 0.400
Tb 0.199 0.499 0.900
Tb 0.400 0.500 0.301
Tb 0.600 0.500 0.699
Tb 0.801 0.000 0.600
Tb 0.801 0.501 0.100
Y 0.400 0.000 0.799
Y 0.600 0.000 0.201
Ho 0.000 0.500 0.500

Which of them is most stable? Easy: two.

one | Tb3Y2Ho3 | PBE | optimized geometry

**Space group**: Immm
**ρ**: 7.54 Mg/m³

Cell: 10.656 10.656 10.656 Å, 152.76 152.76 38.91°
Fractional positions:
Tb 0.000 0.000 0.000
Tb 0.376 0.876 0.500
Tb 0.624 0.124 0.500
Y 0.250 0.250 0.000
Y 0.750 0.750 0.000
Ho 0.124 0.624 0.500
Ho 0.500 0.500 0.000
Ho 0.876 0.376 0.500

two | Tb3Y2Ho3 | PBE | optimized geometry

**Space group**: C2/m
**ρ**: 7.53 Mg/m³

Cell: 12.045 12.045 6.175 Å, 104.85 104.85 17.02°
Fractional positions:
Tb 0.000 0.000 0.000
Tb 0.124 0.124 0.791
Tb 0.876 0.876 0.209
Y 0.250 0.250 0.250
Y 0.750 0.750 0.750
Ho 0.376 0.376 0.709
Ho 0.500 0.500 0.500
Ho 0.624 0.624 0.291

Which of them is most stable? Easy: two.

one | TbY2Ho4 | PBE | optimized geometry

**Space group**: P2_1/m
**ρ**: 7.45 Mg/m³

Cell: 6.183 6.493 11.447 Å, 90.00 104.88 90.00°
Fractional positions:
Tb 0.024 0.250 0.351
Tb 0.976 0.750 0.649
Y 0.140 0.250 0.939
Y 0.389 0.750 0.503
Y 0.611 0.250 0.497
Y 0.860 0.750 0.061
Ho 0.162 0.250 0.653
Ho 0.297 0.750 0.933
Ho 0.357 0.503 0.212
Ho 0.357 0.997 0.212
Ho 0.643 0.003 0.788
Ho 0.643 0.497 0.788
Ho 0.703 0.250 0.067
Ho 0.838 0.750 0.347

two | TbY2Ho4 | PBE | optimized geometry

**Space group**: P3m1
**ρ**: 7.49 Mg/m³

Cell: 3.574 3.574 19.952 Å, 90.00 90.00 120.00°
Fractional positions:
Tb 0.000 0.000 0.000
Y 0.000 0.000 0.430
Y 0.000 0.000 0.715
Ho 0.333 0.667 0.286
Ho 0.333 0.667 0.572
Ho 0.667 0.333 0.143
Ho 0.667 0.333 0.858

Which of them is most stable? Easy: two.

one | Tb7YHo3 | PBE | optimized geometry

**Space group**: P2/m
**ρ**: 7.87 Mg/m³

Cell: 6.997 5.531 9.861 Å, 90.00 110.30 90.00°
Fractional positions:
Tb 0.000 0.000 0.000
Tb 0.147 0.500 0.291
Tb 0.322 0.500 0.642
Tb 0.419 0.000 0.830
Tb 0.581 0.000 0.170
Tb 0.678 0.500 0.358
Tb 0.853 0.500 0.709
Y 0.000 0.000 0.500
Ho 0.280 0.500 0.998
Ho 0.500 0.000 0.500
Ho 0.720 0.500 0.002

two | Tb7YHo3 | PBE | optimized geometry

**Space group**: C2/m
**ρ**: 7.80 Mg/m³

Cell: 8.409 8.409 5.792 Å, 110.09 110.09 82.95°
Fractional positions:
Tb 0.000 0.000 0.000
Tb 0.099 0.502 0.301
Tb 0.293 0.293 0.794
Tb 0.498 0.901 0.699
Tb 0.502 0.099 0.301
Tb 0.707 0.707 0.206
Tb 0.901 0.498 0.699
Y 0.000 0.000 0.500
Ho 0.294 0.706 0.000
Ho 0.500 0.500 0.500
Ho 0.706 0.294 0.000

Which of them is most stable? Easy: one.